(1)
Material: Al6Ni12As
Method: DFT, PBE
State: optimized geometry

Computed properties:
- V: 11.832 A^3/atom
- DOS at the Fermi energy: 0.555 states/eV per atom
- Symmetry: R-3, No. 148
- Formation energy from the elements: -0.418 eV per atom
- Calculated density: 6.952 g cm⁻³

abc: 6.7619 6.7619 6.7619
angles: 110.87 110.87 110.87
Last column: nearest neighbours and their distance in Å.
Positions (direct):
Al  0.0713  0.5821  0.3671  9 Ni 2.45-2.64, 3 Al 2.62-2.70
Al  0.3671  0.0713  0.5821  9 Ni 2.45-2.64, 3 Al 2.62-2.70
Al  0.4179  0.6329  0.9287  9 Ni 2.45-2.64, 3 Al 2.62-2.70
Al  0.5821  0.3671  0.0713  9 Ni 2.45-2.64, 3 Al 2.62-2.70
Al  0.6329  0.9287  0.4179  9 Ni 2.45-2.64, 3 Al 2.62-2.70
Al  0.9287  0.4179  0.6329  9 Ni 2.45-2.64, 3 Al 2.62-2.70
Ni  0.1043  0.1632  0.7348  5 Al 2.50-2.62, 6 Ni 2.53-2.62, 1 As 2.59
Ni  0.1632  0.7348  0.1043  5 Al 2.50-2.62, 6 Ni 2.53-2.62, 1 As 2.59
Ni  0.2069  0.3230  0.4723  4 Al 2.45-2.64, 7 Ni 2.53-2.62, 1 As 2.57
Ni  0.2652  0.8957  0.8368  5 Al 2.50-2.62, 6 Ni 2.53-2.62, 1 As 2.59
Ni  0.3230  0.4723  0.2069  4 Al 2.45-2.64, 7 Ni 2.53-2.62, 1 As 2.57
Ni  0.4723  0.2069  0.3230  4 Al 2.45-2.64, 7 Ni 2.53-2.62, 1 As 2.57
Ni  0.5277  0.7931  0.6770  4 Al 2.45-2.64, 7 Ni 2.53-2.62, 1 As 2.57
Ni  0.6770  0.5277  0.7931  4 Al 2.45-2.64, 7 Ni 2.53-2.62, 1 As 2.57
Ni  0.7348  0.1043  0.1632  5 Al 2.50-2.62, 6 Ni 2.53-2.62, 1 As 2.59
Ni  0.7931  0.6770  0.5277  4 Al 2.45-2.64, 7 Ni 2.53-2.62, 1 As 2.57
Ni  0.8368  0.2652  0.8957  5 Al 2.50-2.62, 6 Ni 2.53-2.62, 1 As 2.59
Ni  0.8957  0.8368  0.2652  5 Al 2.50-2.62, 6 Ni 2.53-2.62, 1 As 2.59
As  0.0000  0.0000  0.0000  12 Ni 2.57-2.59

---

(2)
Material: AlNi2As
Method: DFT, PBE
State: optimized geometry

Computed properties:
- V: 13.995 A^3/atom
- DOS at the Fermi energy: 1.128 states/eV per atom
- Symmetry: R3m, No. 160
- Formation energy from the elements: -0.002 eV per atom
- Calculated density: 6.505 g cm⁻³

abc: 7.6326 7.6326 7.6326
angles: 22.27 22.27 22.27
Last column: nearest neighbours and their distance in Å.
Positions (direct):
Al  0.0000  0.0000  0.0000  3 Ni 2.41
Ni  0.4938  0.4938  0.4938  3 As 2.38, 3 Ni 2.54
Ni  0.7430  0.7430  0.7430  3 Al 2.41, 3 Ni 2.54
As  0.2350  0.2350  0.2350  3 Ni 2.38

---

(3)
Material: Al2NiAs
Method: DFT, PBE
State: optimized geometry

Computed properties:
- V: 15.904 A^3/atom
- DOS at the Fermi energy: 0.390 states/eV per atom
- Symmetry: Imm2, No. 44
- Formation energy from the elements: -0.199 eV per atom
- Calculated density: 4.896 g cm⁻³

abc: 6.0941 6.0941 6.0941
angles: 153.47 140.84 47.93
Last column: nearest neighbours and their distance in Å.
Positions (direct):
Al  0.0000  0.0000  0.0000  4 Ni 2.48
Al  0.6924  0.1924  0.5000  2 Ni 2.47
Ni  0.5094  0.5094  0.0000  6 Al 2.47-2.48, 2 As 2.59
As  0.3138  0.8138  0.5000  2 Ni 2.59, 2 As 2.80, 4 Al 2.82

---

(4)
Material: Al2NiAs
Method: DFT, PBE
State: optimized geometry

Computed properties:
- V: 15.103 A^3/atom
- DOS at the Fermi energy: 0.610 states/eV per atom
- Symmetry: I-4m2, No. 119
- Formation energy from the elements: -0.022 eV per atom
- Calculated density: 5.156 g cm⁻³

abc: 4.8886 4.8886 4.8886
angles: 133.50 133.50 67.87
Last column: nearest neighbours and their distance in Å.
Positions (direct):
Al  0.0000  0.0000  0.0000  4 Ni 2.73, 4 As 2.80, 4 Al 2.80
Al  0.7500  0.2500  0.5000  4 As 2.73, 4 Ni 2.80, 4 Al 2.80
Ni  0.5000  0.5000  0.0000  8 Al 2.73-2.80, 4 As 2.80
As  0.2500  0.7500  0.5000  8 Al 2.73-2.80, 4 Ni 2.80

---

(5)
Material: Al3Ni12As
Method: DFT, PBE
State: optimized geometry

Computed properties:
- V: 11.374 A^3/atom
- DOS at the Fermi energy: 1.025 states/eV per atom
- Symmetry: P4/mmm, No. 123
- Formation energy from the elements: -0.375 eV per atom
- Calculated density: 7.849 g cm⁻³

abc: 3.5646 3.5646 14.3216
angles: 90.00 90.00 90.00
Last column: nearest neighbours and their distance in Å.
Positions (direct):
Al  0.0000  0.0000  0.0000  12 Ni 2.52
Al  0.0000  0.0000  0.2472  12 Ni 2.50-2.55
Al  0.0000  0.0000  0.7528  12 Ni 2.50-2.55
Ni  0.0000  0.5000  0.1244  4 Al 2.50-2.52, 8 Ni 2.52-2.54
Ni  0.0000  0.5000  0.3744  8 Ni 2.52-2.53, 2 As 2.53, 2 Al 2.55
Ni  0.0000  0.5000  0.6256  8 Ni 2.52-2.53, 2 As 2.53, 2 Al 2.55
Ni  0.0000  0.5000  0.8756  4 Al 2.50-2.52, 8 Ni 2.52-2.54
Ni  0.5000  0.0000  0.1244  4 Al 2.50-2.52, 8 Ni 2.52-2.54
Ni  0.5000  0.0000  0.3744  8 Ni 2.52-2.53, 2 As 2.53, 2 Al 2.55
Ni  0.5000  0.0000  0.6256  8 Ni 2.52-2.53, 2 As 2.53, 2 Al 2.55
Ni  0.5000  0.0000  0.8756  4 Al 2.50-2.52, 8 Ni 2.52-2.54
Ni  0.5000  0.5000  0.0000  8 Ni 2.52, 4 Al 2.52
Ni  0.5000  0.5000  0.2504  8 Ni 2.52-2.54, 4 Al 2.52
Ni  0.5000  0.5000  0.5000  4 As 2.52, 8 Ni 2.53
Ni  0.5000  0.5000  0.7496  8 Ni 2.52-2.54, 4 Al 2.52
As  0.0000  0.0000  0.5000  12 Ni 2.52-2.53

---

(6)
Material: AlNi2As
Method: DFT, PBE
State: optimized geometry

Computed properties:
- V: 12.786 A^3/atom
- DOS at the Fermi energy: 0.211 states/eV per atom
- Symmetry: Immm, No. 71
- Formation energy from the elements: -0.245 eV per atom
- Calculated density: 7.120 g cm⁻³

abc: 4.3474 4.3474 4.3474
angles: 126.70 126.65 78.78
Last column: nearest neighbours and their distance in Å.
Positions (direct):
Al  0.0000  0.0000  0.0000  8 Ni 2.57-2.58, 4 As 2.76
Ni  0.2509  0.7509  0.5000  4 As 2.57-2.58, 4 Al 2.57-2.58, 4 Ni 2.76
Ni  0.7491  0.2491  0.5000  4 As 2.57-2.58, 4 Al 2.57-2.58, 4 Ni 2.76
As  0.5000  0.5000  0.0000  8 Ni 2.57-2.58, 4 Al 2.76

---

(7)
Material: Al2Ni2As
Method: DFT, PBE
State: optimized geometry

Computed properties:
- V: 13.725 A^3/atom
- DOS at the Fermi energy: 0.463 states/eV per atom
- Symmetry: P4/mbm, No. 127
- Formation energy from the elements: -0.331 eV per atom
- Excess energy over the best structure of this formula in the dataset: 0.00 eV per formula unit
- Calculated density: 5.959 g cm⁻³

abc: 7.0548 7.0548 2.7577
angles: 90.00 90.00 90.00
Last column: nearest neighbours and their distance in Å.
Positions (direct):
Al  0.1525  0.3475  0.0000  6 Ni 2.48-2.49, 2 Al 2.76
Al  0.3475  0.8475  0.0000  6 Ni 2.48-2.49, 2 Al 2.76
Al  0.6525  0.1525  0.0000  6 Ni 2.48-2.49, 2 Al 2.76
Al  0.8475  0.6525  0.0000  6 Ni 2.48-2.49, 2 Al 2.76
Ni  0.1414  0.6414  0.5000  6 Al 2.48-2.49, 2 As 2.72, 2 Ni 2.76
Ni  0.3586  0.1414  0.5000  6 Al 2.48-2.49, 2 As 2.72, 2 Ni 2.76
Ni  0.6414  0.8586  0.5000  6 Al 2.48-2.49, 2 As 2.72, 2 Ni 2.76
Ni  0.8586  0.3586  0.5000  6 Al 2.48-2.49, 2 As 2.72, 2 Ni 2.76
As  0.0000  0.0000  0.5000  4 Ni 2.72, 2 As 2.76, 8 Al 3.01
As  0.5000  0.5000  0.5000  4 Ni 2.72, 2 As 2.76, 8 Al 3.01

---

(8)
Material: Al2NiAs
Method: DFT, PBE
State: optimized geometry

Computed properties:
- V: 15.162 A^3/atom
- DOS at the Fermi energy: 0.573 states/eV per atom
- Symmetry: R-3m, No. 166
- Formation energy from the elements: -0.148 eV per atom
- Calculated density: 5.136 g cm⁻³

abc: 7.9926 7.9926 7.9926
angles: 21.60 21.60 21.60
Last column: nearest neighbours and their distance in Å.
Positions (direct):
Al  0.2404  0.2404  0.2404  3 Ni 2.44
Al  0.7596  0.7596  0.7596  3 Ni 2.44
Ni  0.5000  0.5000  0.5000  6 Al 2.44
As  0.0000  0.0000  0.0000  6 Al 2.78, 6 As 3.00

---

Which value of formation energy from the elements does entry 3 give? -0.199 eV per atom

---

Please write out number 4 again, unchanged.
Material: Al2NiAs
Method: DFT, PBE
State: optimized geometry

Computed properties:
- V: 15.103 A^3/atom
- DOS at the Fermi energy: 0.610 states/eV per atom
- Symmetry: I-4m2, No. 119
- Formation energy from the elements: -0.022 eV per atom
- Calculated density: 5.156 g cm⁻³

abc: 4.8886 4.8886 4.8886
angles: 133.50 133.50 67.87
Last column: nearest neighbours and their distance in Å.
Positions (direct):
Al  0.0000  0.0000  0.0000  4 Ni 2.73, 4 As 2.80, 4 Al 2.80
Al  0.7500  0.2500  0.5000  4 As 2.73, 4 Ni 2.80, 4 Al 2.80
Ni  0.5000  0.5000  0.0000  8 Al 2.73-2.80, 4 As 2.80
As  0.2500  0.7500  0.5000  8 Al 2.73-2.80, 4 Ni 2.80